1.
Below is a relaxed Nb2Cu2Re crystal, with properties calculated at the GGA-PBE level.

## Properties
For the total magnetic moment, the calculation gives 0.00 μB/f.u. Its space group is P4/mbm. As for the density of states at the Fermi level: 8.57 states/eV/cell. The energy of formation is 0.16 eV/atom. The final energy comes out at -0.294 Ha/atom.

Lattice parameters (Å, degrees): 6.732 6.732 3.342 90.00 90.00 90.00
Fractional positions:
1 Cu 0.622 0.122 0.000
2 Cu 0.122 0.378 0.000
3 Cu 0.878 0.622 0.000
4 Cu 0.378 0.878 0.000
5 Nb 0.682 0.818 0.500
6 Nb 0.182 0.682 0.500
7 Nb 0.818 0.318 0.500
8 Nb 0.318 0.182 0.500
9 Re 0.500 0.500 0.000
10 Re 0.000 0.000 0.000



2.
Below is a relaxed Sc2GaSn crystal, with properties calculated at the GGA-PBE level.

## Properties
For the total magnetic moment, the calculation gives 0.00 μB/f.u. Its space group is I-42d. As for the density of states at the Fermi level: 6.12 states/eV/cell. The energy of formation is -0.27 eV/atom. The final energy comes out at -0.191 Ha/atom.

Lattice parameters (Å, degrees): 7.658 7.658 6.251 52.23 52.23 90.00
Fractional positions:
1 Sc 0.142 0.625 0.250
2 Sc 0.375 0.392 0.750
3 Sc 0.875 0.858 0.750
4 Sc 0.608 0.125 0.250
5 Ga 0.250 0.750 0.500
6 Ga 0.500 0.500 0.000
7 Sn 0.750 0.250 0.500
8 Sn 0.000 0.000 0.000



3.
Below is a relaxed KSiAu2 crystal, with properties calculated at the GGA-PBE level.

## Properties
For the total magnetic moment, the calculation gives 0.00 μB/f.u. Its space group is P4/mmm. The formation energy (no corrections) is 94 kJ/mol of formula units. As for the density of states at the Fermi level: 1.14 states/eV/cell. The final energy comes out at -0.111 Ha/atom.

Lattice parameters (Å, degrees): 5.336 5.336 2.991 90.00 90.00 90.00
Fractional positions:
1 Au 0.500 0.500 0.000
2 Au 0.000 0.000 0.000
3 Si 0.000 0.500 0.500
4 K 0.500 0.000 0.500



4.
Below is a relaxed Pr4OsPd crystal, with properties calculated at the GGA-PBE level.

## Properties
For the total magnetic moment, the calculation gives 0.00 μB/f.u. Its space group is C2/c. As for the density of states at the Fermi level: 12.64 states/eV/cell. The energy of formation is -0.28 eV/atom. The final energy comes out at -0.228 Ha/atom.

Lattice parameters (Å, degrees): 6.434 7.762 7.762 112.84 98.02 98.02
Fractional positions:
1 Pr 0.072 0.377 0.227
2 Pr 0.928 0.623 0.773
3 Pr 0.572 0.227 0.377
4 Pr 0.967 0.069 0.722
5 Pr 0.467 0.722 0.069
6 Pr 0.428 0.773 0.623
7 Pr 0.533 0.278 0.931
8 Pr 0.033 0.931 0.278
9 Os 0.250 0.999 0.001
10 Os 0.750 0.001 0.999
11 Pd 0.250 0.376 0.624
12 Pd 0.750 0.624 0.376



5.
Below is a relaxed Ac2Pr5Tm3 crystal, with properties calculated at the GGA-PBE level.

## Properties
For the total magnetic moment, the calculation gives 0.00 μB/f.u. Its space group is C2/c. As for the density of states at the Fermi level: 31.56 states/eV/cell. The energy of formation is 0.18 eV/atom. The final energy comes out at -0.161 Ha/atom.

Lattice parameters (Å, degrees): 11.853 10.297 12.373 133.80 135.95 54.81
Fractional positions:
1 Tm 0.965 0.186 0.743
2 Tm 0.242 0.992 0.985
3 Tm 0.722 0.442 0.257
4 Tm 0.035 0.814 0.257
5 Tm 0.758 0.008 0.015
6 Tm 0.278 0.558 0.743
7 Pr 0.972 0.722 0.444
8 Pr 0.028 0.278 0.556
9 Pr 0.526 0.816 0.245
10 Pr 0.474 0.184 0.755
11 Pr 0.751 0.501 0.003
12 Pr 0.219 0.429 0.245
13 Pr 0.535 0.285 0.569
14 Pr 0.249 0.499 0.997
15 Pr 0.781 0.571 0.755
16 Pr 0.465 0.715 0.431
17 Ac 0.138 0.133 0.274
18 Ac 0.364 0.859 0.726
19 Ac 0.862 0.867 0.726
20 Ac 0.636 0.141 0.274



6.
Below is a relaxed Nb2CrOs2 crystal, with properties calculated at the GGA-PBE level.

## Properties
For the total magnetic moment, the calculation gives 0.00 μB/f.u. Its space group is P4/mbm. As for the density of states at the Fermi level: 19.38 states/eV/cell. The energy of formation is 0.33 eV/atom. The final energy comes out at -0.372 Ha/atom.

Lattice parameters (Å, degrees): 7.346 7.346 3.082 90.00 90.00 90.00
Fractional positions:
1 Nb 0.334 0.166 0.500
2 Nb 0.166 0.666 0.500
3 Nb 0.834 0.334 0.500
4 Nb 0.666 0.834 0.500
5 Os 0.364 0.864 0.000
6 Os 0.636 0.136 0.000
7 Os 0.136 0.364 0.000
8 Os 0.864 0.636 0.000
9 Cr 0.500 0.500 0.000
10 Cr 0.000 0.000 0.000



7.
Below is a relaxed Ga2Cu3Au3 crystal, with properties calculated at the GGA-PBE level.

## Properties
For the total magnetic moment, the calculation gives 0.00 μB/f.u. Its space group is Cmcm. As for the density of states at the Fermi level: 4.98 states/eV/cell. The energy of formation is -0.05 eV/atom. The final energy comes out at -0.131 Ha/atom.

Lattice parameters (Å, degrees): 4.188 5.073 13.062 90.00 90.00 114.38
Fractional positions:
1 Au 0.710 0.420 0.250
2 Au 0.290 0.580 0.750
3 Au 0.930 0.859 0.402
4 Au 0.070 0.141 0.598
5 Au 0.070 0.141 0.902
6 Au 0.930 0.859 0.098
7 Ga 0.229 0.457 0.117
8 Ga 0.229 0.457 0.383
9 Ga 0.771 0.543 0.617
10 Ga 0.771 0.543 0.883
11 Cu 0.430 0.861 0.250
12 Cu 0.610 0.221 0.444
13 Cu 0.570 0.139 0.750
14 Cu 0.390 0.779 0.944
15 Cu 0.610 0.221 0.056
16 Cu 0.390 0.779 0.556



8.
Below is a relaxed TeOs2W crystal, with properties calculated at the GGA-PBE level.

## Properties
For the total magnetic moment, the calculation gives 0.00 μB/f.u. Its space group is P4/mmm. The formation energy (no corrections) is 199 kJ/mol of formula units. As for the density of states at the Fermi level: 2.66 states/eV/cell. The final energy comes out at -0.335 Ha/atom.

Lattice parameters (Å, degrees): 3.011 3.011 7.420 90.00 90.00 90.00
Fractional positions:
1 Os 0.000 0.000 0.978
2 Os 0.000 0.000 0.522
3 W 0.500 0.500 0.750
4 Te 0.500 0.500 0.250



Repeat the second record exactly.
Below is a relaxed Sc2GaSn crystal, with properties calculated at the GGA-PBE level.

## Properties
For the total magnetic moment, the calculation gives 0.00 μB/f.u. Its space group is I-42d. As for the density of states at the Fermi level: 6.12 states/eV/cell. The energy of formation is -0.27 eV/atom. The final energy comes out at -0.191 Ha/atom.

Lattice parameters (Å, degrees): 7.658 7.658 6.251 52.23 52.23 90.00
Fractional positions:
1 Sc 0.142 0.625 0.250
2 Sc 0.375 0.392 0.750
3 Sc 0.875 0.858 0.750
4 Sc 0.608 0.125 0.250
5 Ga 0.250 0.750 0.500
6 Ga 0.500 0.500 0.000
7 Sn 0.750 0.250 0.500
8 Sn 0.000 0.000 0.000



> Look up the final energy of the second one.

-0.191 Ha/atom



> The highest final energy belongs to which entry?

KSiAu2